# Li2PPb PBE-GGA optimized geometry
# Polymorph energy (0 for the lowest one)   0.113 eV per atom
# Density of states at the Fermi level   2.22 states/eV/cell
# Calculated total energy   -27.6 eV per cell
data_Li2PPb
_chemical_formula_sum 'Li4 P2 Pb2'
_cell_length_a 4.0805
_cell_length_b 4.0805
_cell_length_c 9.0450
_cell_angle_alpha 90.00
_cell_angle_beta 90.00
_cell_angle_gamma 90.00
_space_group_name_H-M_alt 'I -4 m 2'
_space_group_IT_number 119
_space_group_name_Hall 'I -4 -2'
loop_
_atom_site_label
_atom_site_fract_x
_atom_site_fract_y
_atom_site_fract_z
Li1 0.0000 0.0000 0.0000
Li2 0.0000 0.5000 0.2500
P1 0.0000 0.5000 0.7500
Pb1 0.0000 0.0000 0.5000


# MnCdMo2I PBE-GGA optimized geometry
# Uncorrected formation energy   1.921 eV per atom
# Density of states at the Fermi level   2.58 states/eV/cell
# Calculated total energy   -23.7 eV per cell
data_MnCdMo2I
_chemical_formula_sum 'Mn1 Cd1 Mo2 I1'
_cell_length_a 5.2678
_cell_length_b 5.2678
_cell_length_c 5.0395
_cell_angle_alpha 90.00
_cell_angle_beta 90.00
_cell_angle_gamma 90.00
_space_group_name_H-M_alt 'P 4/m m m'
_space_group_IT_number 123
_space_group_name_Hall '-P 4 2'
loop_
_atom_site_label
_atom_site_fract_x
_atom_site_fract_y
_atom_site_fract_z
Mn1 0.0000 0.0000 0.0000
Cd1 0.0000 0.0000 0.5000
Mo1 0.0000 0.5000 0.5000
I1 0.5000 0.5000 0.0000


# ScCd2Ir PBE-GGA optimized geometry
# Density of states at the Fermi level   11.59 states/eV/cell
# Calculated total energy   -72.4 eV per cell
data_ScCd2Ir
_chemical_formula_sum 'Sc4 Cd8 Ir4'
_cell_length_a 6.6948
_cell_length_b 6.6948
_cell_length_c 6.6948
_cell_angle_alpha 90.00
_cell_angle_beta 90.00
_cell_angle_gamma 90.00
_space_group_name_H-M_alt 'F -4 3 m'
_space_group_IT_number 216
_space_group_name_Hall 'F -4 2 3'
loop_
_atom_site_label
_atom_site_fract_x
_atom_site_fract_y
_atom_site_fract_z
Sc1 0.0000 0.0000 0.0000
Cd1 0.0000 0.0000 0.5000
Cd2 0.2500 0.2500 0.7500
Ir1 0.2500 0.2500 0.2500


# Hf2TiBe2Ir5 PBE-GGA optimized geometry
# Density of states at the Fermi level   7.76 states/eV/cell
# Calculated total energy   -178.0 eV per cell
data_Hf2TiBe2Ir5
_chemical_formula_sum 'Hf4 Ti2 Be4 Ir10'
_cell_length_a 9.3499
_cell_length_b 9.3499
_cell_length_c 3.2954
_cell_angle_alpha 90.00
_cell_angle_beta 90.00
_cell_angle_gamma 90.00
_space_group_name_H-M_alt 'P 4/m b m'
_space_group_IT_number 127
_space_group_name_Hall '-P 4 2ab'
loop_
_atom_site_label
_atom_site_fract_x
_atom_site_fract_y
_atom_site_fract_z
Hf1 0.1753 0.3247 0.0000
Ti1 0.0000 0.0000 0.0000
Be1 0.1208 0.6208 0.0000
Ir1 0.0000 0.5000 0.5000
Ir2 0.0716 0.7888 0.5000


# Dy3Tl5 PBE-GGA optimized geometry
# Density of states at the Fermi level   17.61 states/eV/cell
# Calculated total energy   -111.8 eV per cell
data_Dy3Tl5
_chemical_formula_sum 'Dy12 Tl20'
_cell_length_a 10.0989
_cell_length_b 8.1297
_cell_length_c 10.5635
_cell_angle_alpha 90.00
_cell_angle_beta 90.00
_cell_angle_gamma 90.00
_space_group_name_H-M_alt 'C m c m'
_space_group_IT_number 63
_space_group_name_Hall '-C 2c 2'
loop_
_atom_site_label
_atom_site_fract_x
_atom_site_fract_y
_atom_site_fract_z
Dy1 0.0000 0.1055 0.2500
Dy2 0.2072 0.5000 0.0000
Tl1 0.0000 0.1993 0.5357
Tl2 0.0000 0.5001 0.2500
Tl3 0.2231 0.2118 0.7500


# TbUPt4 PBE-GGA optimized geometry
# Density of states at the Fermi level   34.69 states/eV/cell
# Calculated total energy   -180.7 eV per cell
data_TbUPt4
_chemical_formula_sum 'Tb4 U4 Pt16'
_cell_length_a 7.6942
_cell_length_b 7.6942
_cell_length_c 7.6942
_cell_angle_alpha 90.00
_cell_angle_beta 90.00
_cell_angle_gamma 90.00
_space_group_name_H-M_alt 'F -4 3 m'
_space_group_IT_number 216
_space_group_name_Hall 'F -4 2 3'
loop_
_atom_site_label
_atom_site_fract_x
_atom_site_fract_y
_atom_site_fract_z
Tb1 0.0000 0.0000 0.0000
U1 0.2500 0.2500 0.2500
Pt1 0.1251 0.1251 0.6251


# Cs2SrMnTe PBE-GGA optimized geometry
# Uncorrected formation energy   0.180 eV per atom
# Density of states at the Fermi level   8.65 states/eV/cell
# Calculated total energy   -14.8 eV per cell
data_Cs2SrMnTe
_chemical_formula_sum 'Cs2 Sr1 Mn1 Te1'
_cell_length_a 7.6200
_cell_length_b 7.6200
_cell_length_c 5.1297
_cell_angle_alpha 90.00
_cell_angle_beta 90.00
_cell_angle_gamma 90.00
_space_group_name_H-M_alt 'P 4/m m m'
_space_group_IT_number 123
_space_group_name_Hall '-P 4 2'
loop_
_atom_site_label
_atom_site_fract_x
_atom_site_fract_y
_atom_site_fract_z
Cs1 0.0000 0.5000 0.0000
Sr1 0.0000 0.0000 0.5000
Mn1 0.5000 0.5000 0.0000
Te1 0.5000 0.5000 0.5000


# InAsCl2 PBE-GGA optimized geometry
# Polymorph energy (0 for the lowest one)   0.307 eV per atom
# Uncorrected formation energy   -0.172 eV per atom
# Density of states at the Fermi level   12.97 states/eV/cell
# Calculated total energy   -35.3 eV per cell
data_InAsCl2
_chemical_formula_sum 'In3 As3 Cl6'
_cell_length_a 3.6675
_cell_length_b 3.6675
_cell_length_c 26.5000
_cell_angle_alpha 90.00
_cell_angle_beta 90.00
_cell_angle_gamma 120.00
_space_group_name_H-M_alt 'R 3 m'
_space_group_IT_number 160
_space_group_name_Hall 'R 3 -2"'
loop_
_atom_site_label
_atom_site_fract_x
_atom_site_fract_y
_atom_site_fract_z
In1 0.0000 0.0000 0.0000
As1 0.0000 0.0000 0.7404
Cl1 0.0000 0.0000 0.2667
Cl2 0.0000 0.0000 0.4773


# KAgBF6 PBE-GGA optimized geometry
# Uncorrected formation energy   -2.269 eV per atom
# Calculated total energy   -42.3 eV per cell
data_KAgBF6
_chemical_formula_sum 'K1 Ag1 B1 F6'
_cell_length_a 4.8379
_cell_length_b 5.7682
_cell_length_c 6.1582
_cell_angle_alpha 88.07
_cell_angle_beta 66.92
_cell_angle_gamma 84.83
_space_group_name_H-M_alt 'P 1'
_space_group_IT_number 1
_space_group_name_Hall 'P 1'
loop_
_atom_site_label
_atom_site_fract_x
_atom_site_fract_y
_atom_site_fract_z
K1 0.0000 0.0000 0.0000
Ag1 0.6860 0.4997 0.6285
B1 0.4111 0.5002 0.1773
F1 0.1459 0.6365 0.3140
F2 0.3434 0.3497 0.0280
F3 0.4259 0.7931 0.6371
F4 0.5400 0.3630 0.3130
F5 0.6271 0.6513 0.0297
F6 0.9377 0.2062 0.6367


# Na2Ti3Te6 PBE-GGA optimized geometry
# Uncorrected formation energy   -0.775 eV per atom
# Density of states at the Fermi level   11.63 states/eV/cell
# Calculated total energy   -107.4 eV per cell
data_Na2Ti3Te6
_chemical_formula_sum 'Na4 Ti6 Te12'
_cell_length_a 6.7603
_cell_length_b 11.7097
_cell_length_c 8.2456
_cell_angle_alpha 90.00
_cell_angle_beta 105.89
_cell_angle_gamma 90.00
_space_group_name_H-M_alt 'C 1 2/m 1'
_space_group_IT_number 12
_space_group_name_Hall '-C 2y'
loop_
_atom_site_label
_atom_site_fract_x
_atom_site_fract_y
_atom_site_fract_z
Na1 0.0000 0.1665 0.0000
Ti1 0.0000 0.0000 0.5000
Ti2 0.0000 0.3326 0.5000
Te1 0.2349 0.5000 0.7112
Te2 0.2386 0.1655 0.7120


# CaPmBr PBE-GGA optimized geometry
# Uncorrected formation energy   -0.751 eV per atom
# Density of states at the Fermi level   6.47 states/eV/cell
# Calculated total energy   -21.4 eV per cell
data_CaPmBr
_chemical_formula_sum 'Ca2 Pm2 Br2'
_cell_length_a 3.7894
_cell_length_b 3.7894
_cell_length_c 15.1429
_cell_angle_alpha 90.00
_cell_angle_beta 90.00
_cell_angle_gamma 120.00
_space_group_name_H-M_alt 'P -6 m 2'
_space_group_IT_number 187
_space_group_name_Hall 'P -6 2'
loop_
_atom_site_label
_atom_site_fract_x
_atom_site_fract_y
_atom_site_fract_z
Ca1 0.0000 0.0000 0.0000
Ca2 0.3333 0.6667 0.5000
Pm1 0.3333 0.6667 0.2031
Br1 0.0000 0.0000 0.3576


# NbRePt PBE-GGA optimized geometry
# Polymorph energy (0 for the lowest one)   0.172 eV per atom
# Density of states at the Fermi level   2.72 states/eV/cell
# Calculated total energy   -58.3 eV per cell
data_NbRePt
_chemical_formula_sum 'Nb2 Re2 Pt2'
_cell_length_a 4.3777
_cell_length_b 3.3545
_cell_length_c 6.8737
_cell_angle_alpha 90.00
_cell_angle_beta 106.62
_cell_angle_gamma 90.00
_space_group_name_H-M_alt 'C 1 m 1'
_space_group_IT_number 8
_space_group_name_Hall 'C -2y'
loop_
_atom_site_label
_atom_site_fract_x
_atom_site_fract_y
_atom_site_fract_z
Nb1 0.0000 0.0000 0.0000
Re1 0.1470 0.5000 0.3348
Pt1 0.3988 0.0000 0.6637